The following is a PBE-GGA calculation of a relaxed BaCd2Hg crystal, from Alexandria.

Properties
As for the total DFT energy (no corrections): -1.258 eV per atom.

a b c (Å): 4.1124 4.1122 7.4046
angles (deg): 90.00 97.19 90.00
Space group Pm (No. 6)
Symmetry-distinct sites (fractional):
Ba 0.0000 0.0000 0.0000 x1
Cd 0.4401 0.5000 0.6882 x1
Cd 0.9640 0.0000 0.5049 x1
Hg 0.5508 0.5000 0.2758 x1

The following is a PBE-GGA calculation of a relaxed RbNaGa2Sn crystal, from Alexandria.

Properties
As for the total DFT energy (no corrections): -1.553 eV per atom.

a b c (Å): 6.0176 6.0176 6.3527
angles (deg): 90.00 90.00 90.00
Space group P4/mmm (No. 123)
Symmetry-distinct sites (fractional):
Rb 0.0000 0.0000 0.0000 x1
Na 0.5000 0.5000 0.5000 x1
Ga 0.0000 0.5000 0.0000 x2
Sn 0.0000 0.0000 0.5000 x1

The following is a PBE-GGA calculation of a relaxed SrNbBi2Pt crystal, from Alexandria.

Properties
The value obtained for the energy above the most stable polymorph in this dataset is 0.000 eV per atom.

a b c (Å): 5.4567 5.4567 5.4867
angles (deg): 90.00 90.00 90.00
Space group P4/mmm (No. 123)
Symmetry-distinct sites (fractional):
Sr 0.0000 0.0000 0.0000 x1
Nb 0.5000 0.5000 0.0000 x1
Bi 0.0000 0.5000 0.5000 x2
Pt 0.0000 0.0000 0.5000 x1